TcPdOF2 after structural relaxation, computed with GGA-PBE.

The uncorrected formation energy comes out at -379 kJ/mol of formula units. The total moment comes out at 0.7 μB/cell. The calculation puts the density at 6.45 g cm⁻³. As for the density of states at the Fermi level: 1.3020 states/eV/atom. The value obtained for the calculated total energy is -5.64 eV per atom.

Cell: 4.1997 4.1997 3.7746 Å, 90.00 90.00 90.00°
Last column: nearest neighbours and their distance in Å.
Atoms (fractional coordinates):
Tc (0.0000, 0.0000, 0.0000)  2 O 1.89, 4 F 2.10
Pd (0.5000, 0.5000, 0.5000)  8 F 2.82, 4 O 2.97
O (0.0000, 0.0000, 0.5000)  2 Tc 1.89
F (0.0000, 0.5000, 0.0000)  2 Tc 2.10
F (0.5000, 0.0000, 0.0000)  2 Tc 2.10